one:
Be3ReW: relaxed, PBE-GGA.

```
Be3ReW
1.0
-2.416 -2.821 1.801
-0.442 -1.933 -3.620
3.318 -2.312 0.830
Re W Be
1 1 3
direct
0.500 0.500 0.500
0.000 0.000 0.000
0.000 0.500 0.000
0.000 0.000 0.500
0.500 0.000 0.000
```

## Properties
**V**: 70 Å³/cell

---

two:
Be3ReW: relaxed, PBE-GGA.

```
Be3ReW
1.0
4.061 0.000 0.000
0.000 4.061 0.000
0.000 0.000 4.061
Re W Be
1 1 3
direct
0.000 0.000 0.000
0.500 0.500 0.500
0.000 0.500 0.000
0.000 0.000 0.500
0.500 0.000 0.000
```

## Properties
**V**: 67 Å³/cell

---

Stability ranking, top and bottom: two is the most stable and one is the least stable.

---

one:
BeRe3W: relaxed, PBE-GGA.

```
BeRe3W
1.0
-1.756 -2.000 3.908
4.110 -2.228 0.707
1.542 3.660 2.566
Re W Be
3 1 1
direct
0.000 0.500 0.000
0.000 0.000 0.500
0.500 0.000 0.000
0.000 0.000 0.000
0.500 0.500 0.500
```

## Properties
**V**: 106 Å³/cell

---

two:
BeRe3W: relaxed, PBE-GGA.

```
BeRe3W
1.0
-0.938 -3.760 -1.467
3.042 0.332 -2.794
2.653 -1.709 2.686
Re W Be
3 1 1
direct
0.000 0.500 0.000
0.000 0.000 0.500
0.500 0.000 0.000
0.500 0.500 0.500
0.000 0.000 0.000
```

## Properties
**V**: 71 Å³/cell

---

Stability ranking, top and bottom: two is the most stable and one is the least stable.

---

one:
YBe2Re2: relaxed, PBE-GGA.

```
YBe2Re2
1.0
6.535 0.000 0.000
0.000 6.535 0.000
0.000 0.000 3.293
Y Re Be
2 4 4
direct
0.000 0.000 0.000
0.500 0.500 0.000
0.163 0.663 0.500
0.663 0.837 0.500
0.837 0.337 0.500
0.337 0.163 0.500
0.388 0.888 0.000
0.888 0.612 0.000
0.612 0.112 0.000
0.112 0.388 0.000
```

## Properties
**V**: 141 Å³/cell

---

two:
YBe2Re2: relaxed, PBE-GGA.

```
YBe2Re2
1.0
-5.242 0.488 -5.318
-4.701 -3.956 4.272
-0.892 2.232 1.084
Y Re Be
2 4 4
direct
0.000 0.000 0.000
0.500 0.500 0.000
0.378 0.878 0.000
0.878 0.622 0.000
0.622 0.122 0.000
0.122 0.378 0.000
0.170 0.670 0.500
0.670 0.830 0.500
0.830 0.330 0.500
0.330 0.170 0.500
```

## Properties
**V**: 148 Å³/cell

---

Stability ranking, top and bottom: one is the most stable and two is the least stable.

---

one:
YBe2Re: relaxed, PBE-GGA.

```
YBe2Re
1.0
4.768 0.001 -0.005
3.993 2.606 -0.005
1.436 0.427 4.822
Y Re Be
1 1 2
direct
0.259 0.259 0.235
0.469 0.469 0.598
0.043 0.043 0.935
0.729 0.729 0.732
```

## Properties
**V**: 60 Å³/cell

---

two:
YBe2Re: relaxed, PBE-GGA.

```
YBe2Re
1.0
4.223 0.000 0.000
0.000 4.224 0.000
0.000 0.000 3.287
Y Re Be
1 1 2
direct
0.000 0.500 0.500
0.500 0.000 0.500
0.000 0.000 0.000
0.500 0.500 0.000
```

## Properties
**V**: 59 Å³/cell

---

three:
YBe2Re: relaxed, PBE-GGA.

```
YBe2Re
1.0
-1.435 1.309 2.813
-3.042 -0.850 -1.157
-1.122 -5.049 1.778
Y Re Be
1 1 2
direct
0.500 0.792 0.791
0.000 0.504 0.367
0.000 0.157 0.061
0.500 0.047 0.281
```

## Properties
**V**: 60 Å³/cell

---

four:
YBe2Re: relaxed, PBE-GGA.

```
YBe2Re
1.0
-1.939 -3.858 1.053
0.930 -1.970 3.874
-3.067 -0.142 3.214
Y Re Be
1 1 2
direct
0.750 0.750 0.750
0.500 0.500 0.500
0.000 0.000 0.000
0.250 0.250 0.250
```

## Properties
**V**: 62 Å³/cell

---

Stability ranking, top and bottom: three is the most stable and four is the least stable.

---

one:
YBe2Re: relaxed, PBE-GGA.

```
YBe2Re
1.0
-0.409 -6.454 -6.313
2.291 -5.701 -6.628
1.573 -7.585 -4.655
Y Re Be
1 1 2
direct
0.253 0.253 0.253
0.485 0.485 0.485
0.015 0.015 0.015
0.747 0.747 0.747
```

## Properties
**V**: 61 Å³/cell

---

two:
YBe2Re: relaxed, PBE-GGA.

```
YBe2Re
1.0
-0.045 -2.931 1.160
1.213 -1.086 -2.695
6.654 -0.318 -0.549
Y Re Be
1 1 2
direct
0.500 0.750 0.750
0.500 0.250 0.250
0.000 0.924 0.076
0.000 0.576 0.424
```

## Properties
**V**: 59 Å³/cell

---

three:
YBe2Re: relaxed, PBE-GGA.

```
YBe2Re
1.0
5.087 -1.183 -0.695
4.471 2.700 -0.695
4.471 0.710 2.696
Y Re Be
1 1 2
direct
0.250 0.250 0.250
0.750 0.750 0.750
0.052 0.052 0.052
0.448 0.448 0.448
```

## Properties
**V**: 64 Å³/cell

---

Stability ranking, top and bottom: two is the most stable and one is the least stable.

---

one:
YBe2Re: relaxed, PBE-GGA.

```
YBe2Re
1.0
-4.271 -0.921 1.353
-0.193 -1.098 -4.436
0.759 -2.624 0.615
Y Re Be
1 1 2
direct
0.000 0.500 0.500
0.500 0.000 0.500
0.000 0.000 0.000
0.500 0.500 0.000
```

## Properties
**V**: 57 Å³/cell

---

two:
YBe2Re: relaxed, PBE-GGA.

```
YBe2Re
1.0
4.560 0.000 0.000
0.927 4.465 0.000
-2.744 -2.233 2.878
Y Re Be
1 1 2
direct
0.750 0.250 0.500
0.250 0.750 0.500
0.000 0.000 0.000
0.500 0.500 0.000
```

## Properties
**V**: 59 Å³/cell

---

three:
YBe2Re: relaxed, PBE-GGA.

```
YBe2Re
1.0
0.000 3.083 3.083
3.083 0.000 3.083
3.083 3.083 0.000
Y Re Be
1 1 2
direct
0.000 0.000 0.000
0.500 0.500 0.500
0.250 0.250 0.250
0.750 0.750 0.750
```

## Properties
**V**: 59 Å³/cell

---

Stability ranking, top and bottom: two is the most stable and one is the least stable.

---

one:
YBe2Re: relaxed, PBE-GGA.

```
YBe2Re
1.0
2.664 0.000 0.000
0.000 3.243 0.000
0.000 0.000 6.881
Y Re Be
1 1 2
direct
0.500 0.500 0.761
0.000 0.000 0.429
0.000 0.000 0.080
0.500 0.500 0.229
```

## Properties
**V**: 59 Å³/cell

---

two:
YBe2Re: relaxed, PBE-GGA.

```
YBe2Re
1.0
-4.989 0.617 0.218
-2.256 -0.772 -4.431
2.819 -2.150 3.571
Y Re Be
1 1 2
direct
0.248 0.748 0.500
0.537 0.537 0.000
0.957 0.957 0.000
0.758 0.258 0.500
```

## Properties
**V**: 60 Å³/cell

---

three:
YBe2Re: relaxed, PBE-GGA.

```
YBe2Re
1.0
-4.635 -1.389 1.737
-3.299 -2.183 -3.284
4.913 -0.585 1.400
Y Re Be
1 1 2
direct
0.750 0.250 0.500
0.500 0.500 0.000
0.000 0.000 0.000
0.250 0.750 0.500
```

## Properties
**V**: 61 Å³/cell

---

four:
YBe2Re: relaxed, PBE-GGA.

```
YBe2Re
1.0
-0.714 -1.272 3.997
-2.935 -2.612 1.635
2.058 -4.509 0.623
Y Re Be
1 1 2
direct
0.250 0.250 0.250
0.750 0.750 0.750
0.035 0.035 0.840
0.465 0.465 0.660
```

## Properties
**V**: 64 Å³/cell

---

Stability ranking, top and bottom: four is the most stable and three is the least stable.

---

one:
YBe3Re: relaxed, PBE-GGA.

```
YBe3Re
1.0
4.309 0.000 0.000
0.000 4.309 0.000
0.000 0.000 4.309
Y Re Be
1 1 3
direct
0.500 0.500 0.500
0.000 0.000 0.000
0.000 0.500 0.000
0.000 0.000 0.500
0.500 0.000 0.000
```

## Properties
**V**: 80 Å³/cell

---

two:
YBe3Re: relaxed, PBE-GGA.

```
YBe3Re
1.0
-1.470 3.465 -2.159
-3.033 0.608 3.042
2.732 2.540 2.216
Y Re Be
1 1 3
direct
0.000 0.000 0.000
0.500 0.500 0.500
0.000 0.500 0.000
0.000 0.000 0.500
0.500 0.000 0.000
```

## Properties
**V**: 82 Å³/cell

---

Stability ranking, top and bottom: one is the most stable and two is the least stable.

---

one:
Y2BeRe2: relaxed, PBE-GGA.

```
Y2BeRe2
1.0
5.557 0.000 0.000
0.000 5.557 0.000
2.778 2.778 3.598
Y Re Be
2 2 1
direct
0.750 0.250 0.500
0.250 0.750 0.500
0.331 0.331 0.337
0.669 0.669 0.663
0.000 0.000 0.000
```

## Properties
**V**: 111 Å³/cell

---

two:
Y2BeRe2: relaxed, PBE-GGA.

```
Y2BeRe2
1.0
-5.564 0.445 -3.433
0.483 -6.335 -1.603
-2.409 -1.134 3.758
Y Re Be
4 4 2
direct
0.177 0.677 0.500
0.677 0.823 0.500
0.823 0.323 0.500
0.323 0.177 0.500
0.370 0.870 0.000
0.870 0.630 0.000
0.630 0.130 0.000
0.130 0.370 0.000
0.000 0.000 0.000
0.500 0.500 0.000
```

## Properties
**V**: 198 Å³/cell

---

Stability ranking, top and bottom: two is the most stable and one is the least stable.

---

one:
BeZn3Re: relaxed, PBE-GGA.

```
BeZn3Re
1.0
4.153 0.000 0.000
0.000 4.153 0.000
0.000 0.000 4.153
Re Zn Be
1 3 1
direct
0.500 0.500 0.500
0.000 0.500 0.000
0.000 0.000 0.500
0.500 0.000 0.000
0.000 0.000 0.000
```

## Properties
**V**: 72 Å³/cell

---

two:
BeZn3Re: relaxed, PBE-GGA.

```
BeZn3Re
1.0
4.807 0.000 0.000
0.000 4.807 0.000
0.000 0.000 4.807
Re Zn Be
1 3 1
direct
0.000 0.000 0.000
0.000 0.500 0.000
0.000 0.000 0.500
0.500 0.000 0.000
0.500 0.500 0.500
```

## Properties
**V**: 111 Å³/cell

---

Stability ranking, top and bottom: one is the most stable and two is the least stable.

---

one:
Zr3BeRe: relaxed, PBE-GGA.

```
Zr3BeRe
1.0
4.611 0.000 0.000
0.000 4.611 0.000
0.000 0.000 4.611
Re Zr Be
1 3 1
direct
0.500 0.500 0.500
0.000 0.500 0.000
0.000 0.000 0.500
0.500 0.000 0.000
0.000 0.000 0.000
```

## Properties
**V**: 98 Å³/cell

---

two:
Zr3BeRe: relaxed, PBE-GGA.

```
Zr3BeRe
1.0
5.049 0.000 0.000
0.000 5.049 0.000
0.000 0.000 5.049
Re Zr Be
1 3 1
direct
0.000 0.000 0.000
0.000 0.500 0.000
0.000 0.000 0.500
0.500 0.000 0.000
0.500 0.500 0.500
```

## Properties
**V**: 129 Å³/cell

---

Stability ranking, top and bottom: one is the most stable and two is the least stable.